Record 1
# KLaMo | Alexandria | meta-GGA SCAN | single point on PBEsol structure
data_KLaMo
_symmetry_space_group_name_H-M 'I 4 m m'
_symmetry_Int_Tables_number 107
_symmetry_space_group_name_Hall 'I 4 -2'
_cell_length_a 3.323
_cell_length_b 3.323
_cell_length_c 16.903
_cell_angle_alpha 90.00
_cell_angle_beta 90.00
_cell_angle_gamma 90.00
loop_
_atom_site_label
_atom_site_type_symbol
_atom_site_fract_x
_atom_site_fract_y
_atom_site_fract_z
_atom_site_occupancy
K1 K 0.000 0.000 0.000 1
La1 La 0.000 0.000 0.729 1
Mo1 Mo 0.000 0.000 0.340 1
# **Raw total energy**: -166.62 eV per cell

***

Record 2
# VPt | Alexandria | meta-GGA SCAN | single point on PBEsol structure
data_VPt
_symmetry_space_group_name_H-M 'P 4/m m m'
_symmetry_Int_Tables_number 123
_symmetry_space_group_name_Hall '-P 4 2'
_cell_length_a 2.669
_cell_length_b 2.669
_cell_length_c 3.857
_cell_angle_alpha 90.00
_cell_angle_beta 90.00
_cell_angle_gamma 90.00
loop_
_atom_site_label
_atom_site_type_symbol
_atom_site_fract_x
_atom_site_fract_y
_atom_site_fract_z
_atom_site_occupancy
V1 V 0.000 0.000 0.000 1
Pt1 Pt 0.500 0.500 0.500 1
# **Raw total energy**: -89.24 eV per cell

***

Record 3
# FeSbSe2 | Alexandria | meta-GGA SCAN | single point on PBEsol structure
data_FeSbSe2
_symmetry_space_group_name_H-M 'P 4/m m m'
_symmetry_Int_Tables_number 123
_symmetry_space_group_name_Hall '-P 4 2'
_cell_length_a 4.804
_cell_length_b 4.804
_cell_length_c 3.378
_cell_angle_alpha 90.00
_cell_angle_beta 90.00
_cell_angle_gamma 90.00
loop_
_atom_site_label
_atom_site_type_symbol
_atom_site_fract_x
_atom_site_fract_y
_atom_site_fract_z
_atom_site_occupancy
Fe1 Fe 0.000 0.000 0.000 1
Sb1 Sb 0.500 0.500 0.000 1
Se1 Se 0.000 0.500 0.500 1
# **Formation energy without anion corrections**: 0.3452 eV/atom

***

| no. | total magnetic moment (Bohr magnetons per cell) |
| --- | --- |
| 1 | 3.698 |
| 2 | 0.000 |
| 3 | 3.464 |